Below is a geometry-optimized Al4TePb structure, with properties calculated at the PBE level.

abc: 5.7139 5.7139 5.7139
angles: 60.00 60.00 60.00
With the nearest neighbours (Å) after each atom.
Fractional coordinates of all 6 atoms:
Al: 0.1238 0.1238 0.1238  6 Al 2.83-2.88
Al: 0.1238 0.1238 0.6286  6 Al 2.83-2.88
Al: 0.1238 0.6286 0.1238  6 Al 2.83-2.88
Al: 0.6286 0.1238 0.1238  6 Al 2.83-2.88
Te: 0.5000 0.5000 0.5000  12 Al 3.35, 4 Pb 3.50
Pb: 0.7500 0.7500 0.7500  12 Al 3.35, 4 Te 3.50

Output
Formation energy without anion corrections ... 0.1893 eV/atom

Below is a geometry-optimized AlTePb2 structure, with properties calculated at the PBE level.

abc: 5.3442 5.3442 4.0571
angles: 90.00 90.00 94.37
With the nearest neighbours (Å) after each atom.
Fractional coordinates of all 4 atoms:
Al: 0.0000 0.0000 0.0000  8 Pb 3.35, 2 Te 3.63
Te: 0.5000 0.5000 0.0000  8 Pb 3.35, 2 Al 3.63
Pb: 0.0000 0.5000 0.5000  4 Te 3.35, 4 Al 3.35, 2 Pb 3.63
Pb: 0.5000 0.0000 0.5000  4 Te 3.35, 4 Al 3.35, 2 Pb 3.63

Output
Formation energy without anion corrections ... 0.0898 eV/atom

Below is a geometry-optimized AlTePb3 structure, with properties calculated at the PBE level.

abc: 5.9955 5.9955 5.9955
angles: 90.00 90.00 90.00
With the nearest neighbours (Å) after each atom.
Fractional coordinates of all 5 atoms:
Al: 0.0000 0.0000 0.0000  12 Pb 4.24
Te: 0.5000 0.5000 0.5000  6 Pb 3.00
Pb: 0.0000 0.5000 0.5000  2 Te 3.00
Pb: 0.5000 0.0000 0.5000  2 Te 3.00
Pb: 0.5000 0.5000 0.0000  2 Te 3.00

Output
Formation energy without anion corrections ... 0.6880 eV/atom

Please write out number 1 again, unchanged.
Below is a geometry-optimized Al4TePb structure, with properties calculated at the PBE level.

abc: 5.7139 5.7139 5.7139
angles: 60.00 60.00 60.00
With the nearest neighbours (Å) after each atom.
Fractional coordinates of all 6 atoms:
Al: 0.1238 0.1238 0.1238  6 Al 2.83-2.88
Al: 0.1238 0.1238 0.6286  6 Al 2.83-2.88
Al: 0.1238 0.6286 0.1238  6 Al 2.83-2.88
Al: 0.6286 0.1238 0.1238  6 Al 2.83-2.88
Te: 0.5000 0.5000 0.5000  12 Al 3.35, 4 Pb 3.50
Pb: 0.7500 0.7500 0.7500  12 Al 3.35, 4 Te 3.50

Output
Formation energy without anion corrections ... 0.1893 eV/atom